Computed, not measured: a geometry-optimized Ni5C3 structure at the PBE level of DFT.

## Properties
As for the formation energy from the elements: 0.71 eV per atom. Its crystal system is orthorhombic. Its polymorph energy (0 for the lowest one) is 0.164 eV/atom. The total energy is -50.9 eV/cell.

Structure (extended XYZ):
```
8
Lattice="1.0985 -0.4313 -5.0612 -1.4880 -4.5874 1.9366 -2.7395 0.6154 -0.6470" Properties=species:S:1:pos:R:3 pbc="T T T"
Ni 0.0000 0.0000 0.0000
Ni -0.7440 -2.2937 0.9683
Ni 0.5492 -0.2157 -2.5306
Ni -1.4894 -1.2340 -1.2834
Ni -1.6396 -3.1693 -2.4883
C -0.1948 -2.5094 -1.5623
C -0.6919 -0.7996 -4.2466
C -2.4370 -3.6037 0.4749
```